No. 1
Compound: La4InTe
Source: Alexandria via LeMat-Bulk
Functional: PBE
Structure: optimized geometry

Computed properties:
Mass density in g/cm³: 6.87
Volume in Å³/atom: 32.17
N(E_F) in states/eV per atom: 0.86
Raw formation energy in meV/atom: -134

POSCAR file:
```
La4InTe
1.0
0.000 4.587 4.587
4.587 0.000 4.587
4.587 4.587 0.000
La In Te
4 1 1
Direct
0.879 0.374 0.374
0.374 0.374 0.879
0.374 0.879 0.374
0.374 0.374 0.374
0.000 0.000 0.000
0.750 0.750 0.750
```

***

No. 2
Compound: NbNiSN2
Source: Alexandria via LeMat-Bulk
Functional: PBE
Structure: optimized geometry

Computed properties:
Mass density in g/cm³: 6.13
Offset from the most stable computed form in meV/atom: 680
Volume in Å³/atom: 11.46
N(E_F) in states/eV per atom: 0.62
Raw formation energy in meV/atom: 1299

POSCAR file:
```
NbNiSN2
1.0
3.779 0.000 0.000
0.000 4.012 0.000
0.000 0.000 3.779
Ni Nb S N
1 1 1 2
Direct
0.000 0.500 0.000
0.500 0.500 0.500
0.000 0.000 0.000
0.000 0.000 0.500
0.500 0.000 0.000
```

***

No. 3
Compound: Pr2GaBi3
Source: Alexandria via LeMat-Bulk
Functional: PBE
Structure: optimized geometry

Computed properties:
Mass density in g/cm³: 7.83
Volume in Å³/atom: 34.58
N(E_F) in states/eV per atom: 0.66
Calculated total energy in eV per atom: -4.4468

POSCAR file:
```
Pr2GaBi3
1.0
4.538 0.000 0.000
0.000 6.353 0.000
-2.269 -3.176 7.197
Pr Ga Bi
2 1 3
Direct
0.667 0.167 0.334
0.333 0.833 0.666
0.000 0.500 0.000
0.333 0.333 0.666
0.000 0.000 0.000
0.667 0.667 0.334
```

***

No. 4
Compound: Rb2BaAcF8
Source: Alexandria via LeMat-Bulk
Functional: PBE
Structure: optimized geometry

Computed properties:
Mass density in g/cm³: 4.46
Volume in Å³/atom: 21.33
N(E_F) in states/eV per atom: 1.75
Raw formation energy in meV/atom: -3283

POSCAR file:
```
Rb2BaAcF8
1.0
-4.400 -4.657 -0.298
2.471 -1.977 -5.579
4.805 -0.507 5.994
Rb Ba Ac F
2 1 1 8
Direct
0.750 0.250 0.500
0.000 0.000 0.000
0.500 0.500 0.000
0.250 0.750 0.500
0.156 0.632 0.738
0.582 0.632 0.738
0.368 0.418 0.262
0.893 0.844 0.262
0.582 0.107 0.738
0.368 0.844 0.262
0.156 0.107 0.738
0.893 0.418 0.262
```

***

No. 5
Compound: TbYHgPb
Source: Alexandria via LeMat-Bulk
Functional: PBE
Structure: optimized geometry

Computed properties:
Mass density in g/cm³: 10.03
Offset from the most stable computed form in meV/atom: 6
Volume in Å³/atom: 27.14
N(E_F) in states/eV per atom: 1.23

POSCAR file:
```
TbYHgPb
1.0
-2.802 -2.885 3.536
-4.300 -2.759 -1.603
0.165 -5.349 -0.179
Pb Y Tb Hg
1 1 1 1
Direct
0.000 0.000 0.000
0.750 0.750 0.750
0.250 0.250 0.250
0.500 0.500 0.500
```

***

No. 6
Compound: KNiI2N
Source: Alexandria via LeMat-Bulk
Functional: PBE
Structure: optimized geometry

Computed properties:
Mass density in g/cm³: 2.91
Offset from the most stable computed form in meV/atom: 1364
Volume in Å³/atom: 41.70
N(E_F) in states/eV per atom: 2.22
Raw formation energy in meV/atom: 1353

POSCAR file:
```
KNiI2N
1.0
6.425 0.000 0.000
0.000 6.425 0.000
0.000 0.000 5.050
I Ni K N
2 1 1 1
Direct
0.000 0.500 0.000
0.500 0.000 0.000
0.500 0.500 0.500
0.000 0.000 0.000
0.000 0.000 0.500
```

***

No. 7
Compound: Nd2Al3Ru
Source: Alexandria via LeMat-Bulk
Functional: PBE
Structure: optimized geometry

Computed properties:
Mass density in g/cm³: 6.39
Volume in Å³/atom: 20.39
N(E_F) in states/eV per atom: 0.89
Calculated total energy in eV per atom: -5.4886

POSCAR file:
```
Nd2Al3Ru
1.0
-4.985 -0.151 -2.600
4.159 -3.384 -1.696
0.546 -1.913 5.151
Nd Al Ru
2 3 1
Direct
0.749 0.375 0.123
0.251 0.625 0.877
0.500 0.500 0.500
0.000 0.000 0.500
0.500 0.000 0.500
0.000 0.000 0.000
```

***

No. 8
Compound: AgBiAs
Source: Alexandria via LeMat-Bulk
Functional: PBE
Structure: optimized geometry

Computed properties:
Mass density in g/cm³: 7.88
Offset from the most stable computed form in meV/atom: 27
Volume in Å³/atom: 27.52
N(E_F) in states/eV per atom: 0.44

POSCAR file:
```
AgBiAs
1.0
-3.928 0.521 -2.205
-4.264 -1.598 7.218
0.053 8.326 1.874
As Ag Bi
4 4 4
Direct
0.000 0.500 0.811
0.500 0.189 0.500
0.500 0.811 0.500
0.000 0.500 0.189
0.000 0.668 0.500
0.500 0.500 0.668
0.500 0.500 0.332
0.000 0.332 0.500
0.000 0.778 0.000
0.500 0.000 0.778
0.500 0.000 0.222
0.000 0.222 0.000
```

***

No. 9
Compound: CoSn2GeSb
Source: Alexandria via LeMat-Bulk
Functional: PBE
Structure: optimized geometry

Computed properties:
Mass density in g/cm³: 7.07
Volume in Å³/atom: 23.05
N(E_F) in states/eV per atom: 0.44
Raw formation energy in meV/atom: 71

POSCAR file:
```
CoSn2GeSb
1.0
-1.571 4.762 -0.570
-3.062 -0.534 3.975
3.310 1.420 2.740
Sb Ge Co Sn
1 1 1 2
Direct
0.500 0.500 0.500
0.000 0.000 0.500
0.000 0.000 0.000
0.000 0.500 0.000
0.500 0.000 0.000
```

***

No. 10
Compound: Sm12Tm6In
Source: Alexandria via LeMat-Bulk
Functional: PBE
Structure: optimized geometry

Computed properties:
Mass density in g/cm³: 7.84
Offset from the most stable computed form in meV/atom: 0
Volume in Å³/atom: 32.68
N(E_F) in states/eV per atom: 1.56

POSCAR file:
```
Sm12Tm6In
1.0
-4.052 5.020 5.585
-3.997 -6.719 3.420
6.239 -1.027 5.730
Sm Tm In
12 6 1
Direct
0.785 0.538 0.432
0.432 0.785 0.538
0.538 0.432 0.785
0.215 0.462 0.568
0.568 0.215 0.462
0.462 0.568 0.215
0.015 0.179 0.364
0.821 0.636 0.985
0.636 0.985 0.821
0.985 0.821 0.636
0.179 0.364 0.015
0.364 0.015 0.179
0.743 0.900 0.285
0.715 0.257 0.100
0.100 0.715 0.257
0.257 0.100 0.715
0.285 0.743 0.900
0.900 0.285 0.743
0.000 0.000 0.000
```

***

No. 11
Compound: YTeOs2
Source: Alexandria via LeMat-Bulk
Functional: PBE
Structure: optimized geometry

Computed properties:
Mass density in g/cm³: 12.08
Volume in Å³/atom: 20.52
N(E_F) in states/eV per atom: 0.48
Raw formation energy in meV/atom: 209

POSCAR file:
```
YTeOs2
1.0
-2.154 -0.866 -1.949
2.727 -0.700 -2.703
0.572 -6.531 2.269
Os Te Y
2 1 1
Direct
0.000 0.000 0.055
0.500 0.500 0.188
0.000 0.000 0.469
0.500 0.500 0.788
```

***

No. 12
Compound: CaMn2Rh
Source: Alexandria via LeMat-Bulk
Functional: PBE
Structure: optimized geometry

Computed properties:
Mass density in g/cm³: 5.86
Volume in Å³/atom: 17.92
N(E_F) in states/eV per atom: 1.28
Calculated total energy in eV per atom: -6.4796

POSCAR file:
```
CaMn2Rh
1.0
-3.889 0.079 -2.394
-1.255 -1.916 1.975
-2.113 3.330 3.542
Ca Mn Rh
1 2 1
Direct
0.500 0.750 0.750
0.000 0.026 0.114
0.000 0.474 0.386
0.500 0.250 0.250
```